No. 1
## Dy4OsAu3 (PBE-GGA)

Data for Dy4OsAu3 after structural relaxation.

Unit cell a=3.5032 b=3.5032 c=14.5811 alpha=90.00 beta=90.00 gamma=90.00
Space group P4/mmm (No. 123)
One atom of each set of equivalent atoms:
Dy  0.0000  0.0000  0.1138 x2
Dy  0.0000  0.0000  0.3718 x2
Os  0.5000  0.5000  0.0000 x1
Au  0.5000  0.5000  0.2478 x2
Au  0.5000  0.5000  0.5000 x1

Results
The value obtained for the calculated total energy is -5.626 eV per atom.

***

No. 2
## La8GaP3Br4 (PBE-GGA)

Data for La8GaP3Br4 after structural relaxation.

Unit cell a=8.5781 b=8.5781 c=22.2760 alpha=90.00 beta=90.00 gamma=120.00
Space group R-3m (No. 166, hexagonal axes)
One atom of each set of equivalent atoms:
La  0.0000  0.0000  0.2354 x6
La  0.0073  0.5036  0.7624 x18
Ga  0.0000  0.0000  0.5000 x3
P  0.0000  0.5000  0.5000 x9
Br  0.0000  0.0000  0.0000 x3
Br  0.0000  0.5000  0.0000 x9

Results
The value obtained for the calculated total energy is -5.524 eV per atom. The uncorrected formation energy is -1.4383 eV per atom.

***

No. 3
## Cs2KRbPb (PBE-GGA)

Data for Cs2KRbPb after structural relaxation.

Unit cell a=7.5593 b=7.5593 c=7.2270 alpha=90.00 beta=90.00 gamma=90.00
Space group P4/mmm (No. 123)
One atom of each set of equivalent atoms:
Cs  0.0000  0.5000  0.0000 x2
K  0.0000  0.0000  0.5000 x1
Rb  0.5000  0.5000  0.5000 x1
Pb  0.0000  0.0000  0.0000 x1

Results
The value obtained for the calculated total energy is -1.443 eV per atom.

***

No. 4
## Ba2LiW (PBE-GGA)

Data for Ba2LiW after structural relaxation.

Unit cell a=3.4005 b=3.9047 c=9.2812 alpha=90.00 beta=90.00 gamma=90.00
Space group Pmm2 (No. 25)
One atom of each set of equivalent atoms:
Ba  0.0000  0.0000  0.0000 x1
Ba  0.5000  0.5000  0.4134 x1
Li  0.0000  0.0000  0.6528 x1
W  0.5000  0.5000  0.7541 x1

Results
The value obtained for the calculated total energy is -3.670 eV per atom.

***

No. 5
## Dy2MgHg6 (PBE-GGA)

Data for Dy2MgHg6 after structural relaxation.

Unit cell a=11.1221 b=6.4099 c=6.0898 alpha=90.00 beta=90.03 gamma=90.00
Space group C2/m (No. 12)
One atom of each set of equivalent atoms:
Dy  0.1664  0.0000  0.1485 x4
Mg  0.0000  0.5000  0.0000 x2
Hg  0.0890  0.2332  0.6860 x8
Hg  0.1783  0.5000  0.3130 x4

Results
The value obtained for the calculated total energy is -1.652 eV per atom.

***

No. 6
## Er3Sc2In4 (PBE-GGA)

Data for Er3Sc2In4 after structural relaxation.

Unit cell a=6.7255 b=14.5782 c=10.0253 alpha=90.00 beta=90.00 gamma=90.00
Space group Cmce (No. 64)
One atom of each set of equivalent atoms:
Er  0.0000  0.0000  0.0000 x4
Er  0.2500  0.2456  0.2500 x8
Sc  0.0000  0.1007  0.5036 x8
In  0.0000  0.2015  0.9981 x8
In  0.2500  0.0015  0.7500 x8

Results
The value obtained for the calculated total energy is -4.322 eV per atom.

***

No. 7
## LiEuGe2 (PBE-GGA)

Data for LiEuGe2 after structural relaxation.

Unit cell a=3.5001 b=3.5001 c=6.7004 alpha=90.00 beta=90.00 gamma=90.00
Space group P4/mmm (No. 123)
One atom of each set of equivalent atoms:
Li  0.0000  0.0000  0.0000 x1
Eu  0.0000  0.0000  0.5000 x1
Ge  0.5000  0.5000  0.1949 x2

Results
The value obtained for the calculated total energy is -5.752 eV per atom.

***

No. 8
## CdOs3 (PBE-GGA)

Data for CdOs3 after structural relaxation.

Unit cell a=6.1300 b=9.2254 c=4.4712 alpha=90.00 beta=90.00 gamma=90.00
Space group Cmcm (No. 63)
One atom of each set of equivalent atoms:
Cd  0.0000  0.1274  0.2500 x4
Os  0.0000  0.3143  0.7500 x4
Os  0.2141  0.3983  0.2500 x8

Results
The value obtained for the calculated total energy is -7.880 eV per atom.

***

No. 9
## Al2ZnPt (PBE-GGA)

Data for Al2ZnPt after structural relaxation.

Unit cell a=9.0020 b=3.0198 c=4.5155 alpha=90.00 beta=97.98 gamma=90.00
Space group Cm (No. 8)
One atom of each set of equivalent atoms:
Al  0.0000  0.0000  0.0000 x2
Al  0.2459  0.0000  0.7073 x2
Zn  0.2532  0.5000  0.2146 x2
Pt  0.0088  0.5000  0.5070 x2

Results
The value obtained for the calculated total energy is -4.159 eV per atom.

***

No. 10
## PRu2N (PBE-GGA)

Data for PRu2N after structural relaxation.

Unit cell a=4.9284 b=4.9284 c=9.5219 alpha=90.00 beta=90.00 gamma=90.00
Space group I-42d (No. 122)
One atom of each set of equivalent atoms:
P  0.0000  0.0000  0.0000 x4
Ru  0.1957  0.2500  0.6250 x8
N  0.0000  0.0000  0.5000 x4

Results
The value obtained for the calculated total energy is -8.112 eV per atom. The uncorrected formation energy is -0.0404 eV per atom.

***

No. 11
## ErMgNi5As2 (PBE-GGA)

Data for ErMgNi5As2 after structural relaxation.

Unit cell a=4.0033 b=4.0033 c=8.0572 alpha=90.00 beta=90.00 gamma=90.00
Space group P4/mmm (No. 123)
One atom of each set of equivalent atoms:
Er  0.0000  0.0000  0.0000 x1
Mg  0.0000  0.0000  0.5000 x1
Ni  0.0000  0.5000  0.2967 x4
Ni  0.5000  0.5000  0.5000 x1
As  0.5000  0.5000  0.1591 x2

Results
The value obtained for the calculated total energy is -5.403 eV per atom.

***

No. 12
## Te2RuPb (PBE-GGA)

Data for Te2RuPb after structural relaxation.

Unit cell a=12.6916 b=3.2837 c=6.0552 alpha=90.00 beta=118.14 gamma=90.00
Space group Cm (No. 8)
One atom of each set of equivalent atoms:
Te  0.0000  0.0000  0.0000 x2
Te  0.1758  0.0000  0.7073 x2
Ru  0.0292  0.5000  0.3617 x2
Pb  0.3371  0.5000  0.3754 x2

Results
The value obtained for the calculated total energy is -4.740 eV per atom. The uncorrected formation energy is 0.0764 eV per atom.

***

No. 13
## LaAsIO2 (PBE-GGA)

Data for LaAsIO2 after structural relaxation.

Unit cell a=4.3807 b=4.3807 c=7.3142 alpha=90.00 beta=90.00 gamma=90.00
Space group P4/mmm (No. 123)
One atom of each set of equivalent atoms:
La  0.0000  0.0000  0.0000 x1
As  0.5000  0.5000  0.5000 x1
I  0.0000  0.0000  0.5000 x1
O  0.0000  0.5000  0.0000 x2

Results
The value obtained for the calculated total energy is -5.164 eV per atom. The uncorrected formation energy is -0.9556 eV per atom.

***

No. 14
## ThSbTe2N (PBE-GGA)

Data for ThSbTe2N after structural relaxation.

Unit cell a=4.2281 b=4.2281 c=15.9062 alpha=90.00 beta=90.00 gamma=90.00
Space group P4/nmm (No. 129, origin choice 2)
One atom of each set of equivalent atoms:
Th  0.2500  0.2500  0.0697 x2
Sb  0.2500  0.2500  0.6376 x2
Te  0.2500  0.2500  0.4019 x2
Te  0.2500  0.2500  0.8147 x2
N  0.2500  0.7500  0.0000 x2

Results
The value obtained for the calculated total energy is -6.156 eV per atom. The uncorrected formation energy is -0.9258 eV per atom.

***

No. 15
## Nd3Zn2Ga3 (PBE-GGA)

Data for Nd3Zn2Ga3 after structural relaxation.

Unit cell a=4.5323 b=10.7529 c=14.9704 alpha=90.00 beta=90.00 gamma=90.00
Space group Cmcm (No. 63)
One atom of each set of equivalent atoms:
Nd  0.0000  0.0975  0.1090 x8
Nd  0.0000  0.3748  0.2500 x4
Zn  0.0000  0.2014  0.5971 x8
Ga  0.0000  0.3299  0.7500 x4
Ga  0.0000  0.3890  0.0385 x8

Results
The value obtained for the calculated total energy is -3.786 eV per atom.

***

No. 16
## Ac2PmAu (PBE-GGA)

Data for Ac2PmAu after structural relaxation.

Unit cell a=11.9435 b=6.6481 c=7.5109 alpha=90.00 beta=106.30 gamma=90.00
Space group C2/c (No. 15)
One atom of each set of equivalent atoms:
Ac  0.1927  0.0036  0.0912 x8
Pm  0.0000  0.3632  0.2500 x4
Au  0.0000  0.1929  0.7500 x4

Results
The value obtained for the calculated total energy is -4.329 eV per atom.

***

No. 17
## CsRbNa2F (PBE-GGA)

Data for CsRbNa2F after structural relaxation.

Unit cell a=6.6897 b=6.6897 c=5.3422 alpha=90.00 beta=90.00 gamma=90.00
Space group P4/mmm (No. 123)
One atom of each set of equivalent atoms:
Cs  0.0000  0.0000  0.0000 x1
Rb  0.5000  0.5000  0.0000 x1
Na  0.0000  0.5000  0.5000 x2
F  0.5000  0.5000  0.5000 x1

Results
The value obtained for the calculated total energy is -2.037 eV per atom. The uncorrected formation energy is -0.7713 eV per atom.

***

No. 18
## KZn4SbAs2 (PBE-GGA)

Data for KZn4SbAs2 after structural relaxation.

Unit cell a=4.2549 b=4.2549 c=10.6188 alpha=90.00 beta=90.00 gamma=90.00
Space group P4/mmm (No. 123)
One atom of each set of equivalent atoms:
K  0.0000  0.0000  0.0000 x1
Zn  0.0000  0.5000  0.3270 x4
Sb  0.0000  0.0000  0.5000 x1
As  0.5000  0.5000  0.1953 x2

Results
The value obtained for the calculated total energy is -2.678 eV per atom. The uncorrected formation energy is -0.2261 eV per atom.

***

No. 19
## Pr5TcN8 (PBE-GGA)

Data for Pr5TcN8 after structural relaxation.

Unit cell a=7.1195 b=7.1195 c=10.0423 alpha=90.00 beta=90.00 gamma=90.00
Space group I-4 (No. 82)
One atom of each set of equivalent atoms:
Pr  0.0000  0.0000  0.0000 x2
Pr  0.0166  0.2563  0.3723 x8
Tc  0.0000  0.5000  0.7500 x2
N  0.0028  0.2878  0.6437 x8
N  0.0092  0.2762  0.1377 x8

Results
The value obtained for the calculated total energy is -7.812 eV per atom. The uncorrected formation energy is -0.6070 eV per atom.

***

No. 20
## Sm4SiSbSe2 (PBE-GGA)

Data for Sm4SiSbSe2 after structural relaxation.

Unit cell a=7.3831 b=4.2738 c=7.4436 alpha=90.00 beta=109.42 gamma=90.00
Space group P2/m (No. 10)
One atom of each set of equivalent atoms:
Sm  0.2425  0.0000  0.2366 x2
Sm  0.2491  0.5000  0.7628 x2
Si  0.0000  0.5000  0.0000 x1
Sb  0.0000  0.0000  0.5000 x1
Se  0.5000  0.0000  0.0000 x1
Se  0.5000  0.5000  0.5000 x1

Results
The value obtained for the calculated total energy is -5.841 eV per atom. The uncorrected formation energy is -1.4172 eV per atom.